Nd6Tm5Cd: optimized geometry, PBE-GGA.

As for the density: 7.9 g/cm3. Its space group is Immm (71). The calculation puts the formation enthalpy at 0 K at -12 meV per atom. The total DFT energy (no corrections) is -4.335 eV/atom.

a = 5.1049 Å, b = 9.4317 Å, c = 9.4317 Å
α = 108.57°, β = 105.70°, γ = 105.70°
With the nearest neighbours (Å) after each atom.
Fractional positions:
Tm  0.5000  0.1705  0.8295  8 Nd 3.50-3.54, 2 Tm 3.60, 2 Cd 3.65
Tm  0.0000  0.3365  0.6635  8 Nd 3.53-3.56, 4 Tm 3.58-3.60
Tm  0.5000  0.5000  0.5000  8 Nd 3.56-3.57, 4 Tm 3.58
Tm  0.0000  0.6635  0.3365  8 Nd 3.53-3.56, 4 Tm 3.58-3.60
Tm  0.5000  0.8295  0.1705  8 Nd 3.50-3.54, 2 Tm 3.60, 2 Cd 3.65
Nd  0.2454  0.0787  0.4120  7 Tm 3.50-3.56, 1 Cd 3.50, 4 Nd 3.61
Nd  0.7546  0.5880  0.9213  7 Tm 3.50-3.56, 1 Cd 3.50, 4 Nd 3.61
Nd  0.7439  0.2443  0.2443  2 Cd 3.49, 6 Tm 3.54-3.57, 4 Nd 3.61
Nd  0.2561  0.7557  0.7557  2 Cd 3.49, 6 Tm 3.54-3.57, 4 Nd 3.61
Nd  0.2454  0.4120  0.0787  7 Tm 3.50-3.56, 1 Cd 3.50, 4 Nd 3.61
Nd  0.7546  0.9213  0.5880  7 Tm 3.50-3.56, 1 Cd 3.50, 4 Nd 3.61
Cd  0.0000  0.0000  0.0000  8 Nd 3.49-3.50, 4 Tm 3.65